An optimized crystal structure of Ba2TeO, computed with PBE-GGA.

Geometry as extended XYZ:
```
4
Lattice="4.256 -2.830 2.251 0.139 -0.921 5.506 -0.816 -5.154 1.991" Properties=species:S:1:pos:R:3 pbc="T T T"
Te 1.789 -4.452 4.874
Ba 0.895 -2.226 2.437
Ba 2.684 -6.679 7.311
O 0.000 0.000 0.000
```

DOS(E_F)   0.000 states/eV per atom
Space-group type   Fm-3m, No. 225
E_form (uncorrected)   -1459.4 meV per atom